1.
Compound: InGeCl3
Source: Alexandria via LeMat-Bulk
Functional: PBE-GGA
Structure: optimized geometry

The space group is C2/m (No. 12) and the conventional cell measures 17.070, 4.018 and 8.767 Å, with angles of 90.00, 94.81 and 90.00 degrees. Symmetry generates all atoms from In at (0.125, 0.000, 0.394), Ge at (0.168, 0.500, 0.858), Cl at (0.062, 0.500, 0.672), Cl at (0.114, 0.000, 0.005) and Cl at (0.246, 0.000, 0.682).

Its formation energy from raw total energies is -0.776 eV/atom. The calculation puts the theoretical density at 3.3 g/cm³. For the energy, the calculation gives -67.10 eV/cell. The value obtained for the density of states at the Fermi level is 0.00 states/eV per cell.

2.
Compound: TlIn2NiBr
Source: Alexandria via LeMat-Bulk
Functional: PBE-GGA
Structure: optimized geometry

The space group is P4/mmm (No. 123) and the conventional cell measures 5.063, 5.063 and 5.188 Å, with angles of 90.00, 90.00 and 90.00 degrees. Symmetry generates all atoms from Tl at (0.000, 0.000, 0.000), In at (0.000, 0.500, 0.500), Ni at (0.000, 0.000, 0.500) and Br at (0.500, 0.500, 0.000).

Its formation energy from raw total energies is -0.291 eV/atom. The calculation puts the theoretical density at 7.1 g/cm³. For the energy, the calculation gives -16.75 eV/cell. The value obtained for the density of states at the Fermi level is 0.76 states/eV per cell.

3.
Compound: Tc3Ge6Pt
Source: Alexandria via LeMat-Bulk
Functional: PBE-GGA
Structure: optimized geometry

The space group is P2_1/c (No. 14) and the conventional cell measures 6.204, 6.585 and 8.776 Å, with angles of 90.00, 110.01 and 90.00 degrees. Symmetry generates all atoms from Tc at (0.000, 0.000, 0.000), Tc at (0.216, 0.131, 0.734), Ge at (0.074, 0.144, 0.418), Ge at (0.241, 0.705, 0.391), Ge at (0.403, 0.031, 0.194) and Pt at (0.500, 0.000, 0.500).

The calculation puts the theoretical density at 9.1 g/cm³. For the energy, the calculation gives -131.28 eV/cell. The value obtained for the density of states at the Fermi level is 9.93 states/eV per cell. The value obtained for the calculated formation energy is -79.6 meV/atom.

4.
Compound: TaRhW2
Source: Alexandria via LeMat-Bulk
Functional: PBE-GGA
Structure: optimized geometry

The space group is Pmm2 (No. 25) and the conventional cell measures 2.774, 3.950 and 5.949 Å, with angles of 90.00, 90.00 and 90.00 degrees. Symmetry generates all atoms from Ta at (0.000, 0.000, 0.000), Rh at (0.500, 0.500, 0.760), W at (0.000, 0.000, 0.513) and W at (0.500, 0.500, 0.269).

The calculation puts the theoretical density at 16.6 g/cm³. For the energy, the calculation gives -44.87 eV/cell. The value obtained for the density of states at the Fermi level is 3.76 states/eV per cell. The value obtained for the calculated formation energy is 60.1 meV/atom. Its distance to the lowest polymorph of the same formula is 156 meV/atom.